This record from the Alexandria database describes a relaxed TiAlV2O6 crystal. The functional is PBE with a Hubbard U.

The structure in extended XYZ format:
```
10
Lattice="5.0626 0.0006 -0.0004 2.5316 4.3840 -0.0028 2.5314 1.4629 4.6368" Properties=species:S:1:pos:R:3 pbc="T T T"
O 4.1589 1.2509 1.1250
O 6.9632 2.9773 1.1240
O 5.7506 1.5369 3.5273
O 4.0660 4.5419 1.1235
O 3.5175 3.0222 3.5271
O 5.9210 4.2141 3.5255
V 2.5313 1.4628 4.4109
V 5.0629 2.9236 2.0367
Al 2.5310 1.4611 0.2483
Ti 7.5943 4.3850 2.5911
```

***

This record from the Alexandria database describes a relaxed Ti2AlVO6 crystal. The functional is PBE with a Hubbard U.

Properties
Density of states at the Fermi level ... 4.1 states/eV/cell

The structure in extended XYZ format:
```
10
Lattice="5.0565 0.0008 0.0007 2.5281 4.3797 -0.0001 2.5274 1.4608 4.6382" Properties=species:S:1:pos:R:3 pbc="T T T"
O 4.1913 1.4007 1.1260
O 4.1726 4.4290 1.1255
O 5.8635 1.6781 3.5566
O 5.7281 4.2416 3.5562
O 3.5757 2.8429 3.5567
O 6.8046 2.9321 1.1260
Ti 5.0563 2.9204 2.0548
Ti 2.5277 1.4604 4.4020
Al 2.5280 1.4602 0.2286
V 7.5842 4.3809 2.5316
```

***

| no. | total DFT energy (no corrections) (eV per cell) |
| --- | --- |
| 1 | -81.3 |
| 2 | -83.8 |